DFT (PBE) results for a geometry-optimized ZrVGa structure.

```
ZrVGa
1.0
4.476 0.000 0.000
-2.238 3.876 0.000
0.000 0.000 3.168
Zr V Ga
1 1 1
direct
0.000 0.000 0.000
0.333 0.667 0.499
0.667 0.333 0.501
```

Computed properties:
- space group = P3m1 (156)
- E (eV per cell) = -20.845
- size of the total moment (μB/f.u.) = 2.44
- crystal system = trigonal
- energy relative to the lowest polymorph listed for this composition (meV per atom) = 288
- calculated formation energy (meV per atom) = -50

DFT (PBE) results for a geometry-optimized ZrVGa structure.

```
ZrVGa
1.0
-1.459 1.459 6.073
1.459 -1.459 6.073
1.459 1.459 -6.073
Zr V Ga
1 1 1
direct
0.000 0.000 0.000
0.674 0.674 0.000
0.320 0.320 0.000
```

Computed properties:
- space group = I4mm (107)
- E (eV per cell) = -20.954
- size of the total moment (μB/f.u.) = 0.00
- crystal system = tetragonal
- energy relative to the lowest polymorph listed for this composition (meV per atom) = 251
- calculated formation energy (meV per atom) = -87